Mn2MoOs2 | PBE | relaxed

Values from the calculation:
energy of formation from the pure elements = 0.179 eV per atom
offset from the most stable computed form = 0.064 eV per atom
theoretical density = 14.2 g cm⁻³
energy = -10.1474 eV/atom

a b c (Å): 7.186 7.186 2.660
angles (deg): 90.00 90.00 90.00
Space group P4/mbm (No. 127)
Inequivalent atoms, fractional coordinates:
1 Mn 0.168 0.332 0.000 [4 per cell]
2 Mo 0.000 0.000 0.500 [2 per cell]
3 Os 0.128 0.628 0.500 [4 per cell]

***

Mn2MoOs | PBE | relaxed

Values from the calculation:
energy of formation from the pure elements = 0.098 eV per atom
theoretical density = 12.4 g cm⁻³
energy = -10.0024 eV/atom

a b c (Å): 3.802 3.802 3.673
angles (deg): 90.00 90.00 90.00
Space group P4/mmm (No. 123)
Inequivalent atoms, fractional coordinates:
1 Mn 0.000 0.500 0.000 [2 per cell]
2 Mo 0.000 0.000 0.500 [1 per cell]
3 Os 0.500 0.500 0.500 [1 per cell]

***

Mn2MoOs | PBE | relaxed

Values from the calculation:
energy of formation from the pure elements = 0.116 eV per atom
theoretical density = 12.0 g cm⁻³
energy = -9.9837 eV/atom

a b c (Å): 3.046 4.191 8.557
angles (deg): 90.00 90.00 90.00
Space group Imm2 (No. 44)
Inequivalent atoms, fractional coordinates:
1 Mn 0.000 0.000 0.000 [2 per cell]
2 Mn 0.000 0.500 0.257 [2 per cell]
3 Mo 0.000 0.500 0.751 [2 per cell]
4 Os 0.000 0.000 0.507 [2 per cell]